1.
Entry from Alexandria via LeMat-Bulk: a geometry-optimized CdCu6Pd6 structure (PBE).

a b c (Å): 4.9598 4.9598 8.8421
angles (deg): 90.00 90.00 120.00
Fractional positions:
Cd1 0.0000 0.0000 0.0000
Cu1 0.0000 0.5000 0.2488
Cu2 0.0000 0.5000 0.7512
Cu3 0.5000 0.0000 0.2488
Cu4 0.5000 0.0000 0.7512
Cu5 0.5000 0.5000 0.2488
Cu6 0.5000 0.5000 0.7512
Pd1 0.0000 0.0000 0.3487
Pd2 0.0000 0.0000 0.6513
Pd3 0.3333 0.6667 0.0000
Pd4 0.3333 0.6667 0.5000
Pd5 0.6667 0.3333 0.0000
Pd6 0.6667 0.3333 0.5000

Computed properties:
**DFT total energy**: -4.470 eV per atom
**Volume**: 14.5 A^3/atom
**Calculated formation energy**: -0.1129 eV/atom

2.
Entry from Alexandria via LeMat-Bulk: a geometry-optimized TiNb2SiH structure (PBE).

a b c (Å): 4.0292 4.0292 4.1895
angles (deg): 90.00 90.00 90.00
Fractional positions:
Ti1 0.0000 0.0000 0.0000
Nb1 0.0000 0.5000 0.5000
Nb2 0.5000 0.0000 0.5000
Si1 0.5000 0.5000 0.0000
H1 0.0000 0.0000 0.5000

Computed properties:
**DFT total energy**: -7.715 eV per atom
**Volume**: 13.6 A^3/atom

3.
Entry from Alexandria via LeMat-Bulk: a geometry-optimized PtRhN structure (PBE).

a b c (Å): 4.2166 2.8134 6.7811
angles (deg): 90.00 100.55 90.00
Fractional positions:
Pt1 0.0000 0.0000 0.0000
Pt2 0.0000 0.0000 0.5000
Rh1 0.4427 0.5000 0.2800
Rh2 0.5573 0.5000 0.7200
N1 0.2610 0.0000 0.7828
N2 0.7390 0.0000 0.2172

Computed properties:
**ΔE_f (raw)**: 0.317 eV per atom
**DFT total energy**: -6.922 eV per atom
**Volume**: 13.2 A^3/atom
**Excess energy over the best structure of this formula in the dataset**: 0.43 eV/f.u.

4.
Entry from Alexandria via LeMat-Bulk: a geometry-optimized SmZrTl structure (PBE).

a b c (Å): 5.2725 5.2725 3.1929
angles (deg): 90.00 90.00 120.00
Fractional positions:
Sm1 0.0000 0.0000 0.0000
Zr1 0.3333 0.6667 0.0019
Tl1 0.6667 0.3333 0.4999

Computed properties:
**DFT total energy**: -5.005 eV per atom
**Volume**: 25.6 A^3/atom
**Excess energy over the best structure of this formula in the dataset**: 0.71 eV/f.u.
**Calculated formation energy**: 0.2060 eV/atom

5.
Entry from Alexandria via LeMat-Bulk: a geometry-optimized AlCdAu2Se structure (PBE).

a b c (Å): 5.0819 5.0819 5.3426
angles (deg): 90.00 90.00 90.00
Fractional positions:
Al1 0.0000 0.0000 0.0000
Cd1 0.5000 0.5000 0.0000
Au1 0.0000 0.5000 0.5000
Au2 0.5000 0.0000 0.5000
Se1 0.5000 0.5000 0.5000

Computed properties:
**ΔE_f (raw)**: 0.544 eV per atom
**DFT total energy**: -2.395 eV per atom
**Volume**: 27.6 A^3/atom

6.
Entry from Alexandria via LeMat-Bulk: a geometry-optimized TmNiP2Rh2 structure (PBE).

a b c (Å): 4.2492 4.2492 5.4016
angles (deg): 90.00 90.00 90.00
Fractional positions:
Tm1 0.0000 0.0000 0.0000
Ni1 0.0000 0.0000 0.5000
P1 0.0000 0.5000 0.5000
P2 0.5000 0.0000 0.5000
Rh1 0.5000 0.5000 0.2502
Rh2 0.5000 0.5000 0.7498

Computed properties:
**DFT total energy**: -6.387 eV per atom
**Volume**: 16.3 A^3/atom
**Calculated formation energy**: -0.4242 eV/atom

7.
Entry from Alexandria via LeMat-Bulk: a geometry-optimized Dy2HoPuTl4 structure (PBE).

a b c (Å): 9.3156 9.3156 9.3156
angles (deg): 33.56 33.56 33.56
Fractional positions:
Dy1 0.2481 0.2481 0.2481
Dy2 0.7519 0.7519 0.7519
Ho1 0.0000 0.0000 0.0000
Pu1 0.5000 0.5000 0.5000
Tl1 0.1231 0.1231 0.1231
Tl2 0.3731 0.3731 0.3731
Tl3 0.6269 0.6269 0.6269
Tl4 0.8769 0.8769 0.8769

Computed properties:
**DFT total energy**: -4.934 eV per atom
**Volume**: 27.5 A^3/atom
**Calculated formation energy**: -0.2361 eV/atom

8.
Entry from Alexandria via LeMat-Bulk: a geometry-optimized SbAs5 structure (PBE).

a b c (Å): 3.4805 3.4805 10.3190
angles (deg): 90.00 90.00 90.00
Fractional positions:
Sb1 0.0000 0.0000 0.0000
As1 0.0000 0.0000 0.3250
As2 0.0000 0.0000 0.6750
As3 0.5000 0.5000 0.2060
As4 0.5000 0.5000 0.5000
As5 0.5000 0.5000 0.7940

Computed properties:
**ΔE_f (raw)**: 0.374 eV per atom
**DFT total energy**: -4.187 eV per atom
**Volume**: 20.8 A^3/atom
**Excess energy over the best structure of this formula in the dataset**: 1.54 eV/f.u.

9.
Entry from Alexandria via LeMat-Bulk: a geometry-optimized CeNd2TmS6 structure (PBE).

a b c (Å): 7.4768 7.4768 7.4768
angles (deg): 56.75 56.75 56.75
Fractional positions:
Ce1 0.0000 0.0000 0.0000
Nd1 0.2909 0.2909 0.2909
Nd2 0.7939 0.7939 0.7939
Tm1 0.4962 0.4962 0.4962
S1 0.1123 0.6924 0.3944
S2 0.2111 0.6060 0.8766
S3 0.3944 0.1123 0.6924
S4 0.6060 0.8766 0.2111
S5 0.6924 0.3944 0.1123
S6 0.8766 0.2111 0.6060

Computed properties:
**ΔE_f (raw)**: -1.996 eV per atom
**DFT total energy**: -6.466 eV per atom
**Volume**: 27.3 A^3/atom

| no. | density (g cm⁻³) |
| --- | --- |
| 1 | 9.98 |
| 2 | 6.42 |
| 3 | 13.10 |
| 4 | 9.63 |
| 5 | 7.37 |
| 6 | 8.43 |
| 7 | 11.71 |
| 8 | 6.59 |
| 9 | 4.80 |